Record 1
DFT (PBE-GGA) results for a geometry-optimized Li2ScGa2Pt2 structure.

Output
DFT formation energy (eV/atom): -0.67
Total moment (μB per formula unit): 0.0

extended XYZ file:
```
7
Lattice="4.3565 0.0000 0.0000 -2.1783 3.9111 -0.1480 0.0000 -1.7340 6.6673" Properties=species:S:1:pos:R:3 pbc="T T T"
Li 2.1783 -0.5798 5.0212
Sc 0.0000 0.0000 0.0000
Pt 0.0000 0.7909 5.2408
Pt 2.1783 1.3861 1.2785
Ga 0.0000 0.3500 2.7394
Li 0.0000 2.7569 1.4982
Ga 2.1783 1.8271 3.7799
```

---

Record 2
DFT (PBE-GGA) results for a geometry-optimized Li2GaSiPt structure.

Output
Total moment (μB per formula unit): 0.0
Formation energy without anion corrections (meV/atom): 414

extended XYZ file:
```
5
Lattice="-3.1693 3.0640 -0.8369 -2.5653 -1.7331 3.3696 1.9392 2.8030 2.9181" Properties=species:S:1:pos:R:3 pbc="T T T"
Li -1.5847 1.5320 -0.4185
Ga -1.2827 -0.8666 1.6848
Si 0.0000 0.0000 0.0000
Pt -1.8977 2.0669 2.7254
Li 0.9696 1.4015 1.4591
```

---

Record 3
DFT (PBE-GGA) results for a geometry-optimized LiGaSiPt structure.

Output
Total moment (μB per formula unit): 0.0
Formation energy without anion corrections (meV/atom): -472

extended XYZ file:
```
4
Lattice="4.3104 0.0000 0.0000 2.1552 3.7329 0.0000 2.1552 1.2443 3.5194" Properties=species:S:1:pos:R:3 pbc="T T T"
Si 4.3104 2.4886 1.7597
Pt 6.4656 3.7329 2.6396
Ga 0.0000 0.0000 0.0000
Li 2.1552 1.2443 0.8799
```

---

Record 4
DFT (PBE-GGA) results for a geometry-optimized Li2GaSi2Pt5 structure.

Output
Total moment (μB per formula unit): 0.0
Formation energy without anion corrections (meV/atom): -689

extended XYZ file:
```
20
Lattice="-3.2671 -0.7478 1.3574 3.9381 -4.2575 7.1328 0.1231 7.9228 4.6610" Properties=species:S:1:pos:R:3 pbc="T T T"
Li 0.7074 1.8994 2.7490
Li 1.4046 5.1736 6.2308
Pt 2.0362 -2.7107 8.2239
Pt 1.1850 0.0071 7.6724
Pt 1.6213 3.5633 10.6818
Pt 0.7151 2.7455 8.0501
Si 3.4724 -0.7719 7.9322
Ga 0.0000 0.0000 0.0000
Si 0.5888 4.4373 3.8616
Pt 0.0789 0.1721 5.1012
Ga 2.0306 1.8327 5.8969
Si 1.4738 -0.5475 3.2455
Li 2.6566 -1.5082 5.5630
Pt 0.3355 -2.5026 4.2451
Pt -0.8273 -0.6458 2.4695
Pt -1.2422 5.6283 4.9274
Pt -0.3909 2.9104 5.4789
Pt -1.5720 3.5875 3.0092
Li 3.3538 1.7660 9.0449
Si 2.5874 4.2128 8.5483
```

---

What did the third record say?
DFT (PBE-GGA) results for a geometry-optimized LiGaSiPt structure.

Output
Total moment (μB per formula unit): 0.0
Formation energy without anion corrections (meV/atom): -472

extended XYZ file:
```
4
Lattice="4.3104 0.0000 0.0000 2.1552 3.7329 0.0000 2.1552 1.2443 3.5194" Properties=species:S:1:pos:R:3 pbc="T T T"
Si 4.3104 2.4886 1.7597
Pt 6.4656 3.7329 2.6396
Ga 0.0000 0.0000 0.0000
Li 2.1552 1.2443 0.8799
```